This record from Alexandria via LeMat-Bulk describes a geometry-optimized ZrZnPb2S structure. The functional is PBE.

- E_form (uncorrected): 264 kJ/mol of formula units
- Space group: P4/mmm, No. 123
- N(E_F): 0.908 states/eV/atom
- Raw total energy: -3.7252 eV per atom

Unit cell a=5.424 b=4.459 c=5.424 alpha=90.00 beta=90.00 gamma=90.00
Atoms (fractional coordinates):
1 S 0.000 0.500 0.000
2 Pb 0.500 0.000 0.000
3 Zn 0.000 0.000 0.000
4 Pb 0.000 0.000 0.500
5 Zr 0.500 0.500 0.500